CeFe2PO8: relaxed, GGA+U.

As for the total DFT energy (no corrections): -6.760 eV per atom. The calculation puts the total moment at 11.01 μB/cell.

The structure belongs to space group P-3m1 (No. 164); the cell edges are 5.0723, 5.0723 and 5.9120 Å and the angles 90.00°, 90.00° and 120.00°. The inequivalent atoms are Ce at (0.0000, 0.0000, 0.0000), Fe at (0.3333, 0.6667, 0.4210), P at (0.0000, 0.0000, 0.5000), O at (0.1577, 0.3154, 0.6640) and O at (0.3333, 0.6667, 0.1082).